1.
13
Lattice="5.802 -2.601 0.000 5.802 2.601 0.000 -1.071 0.000 15.094" Properties=species:S:1:pos:R:3 comment="CaPr8Dy4 (PBE-GGA, optimized geometry)" volume_a3_per_fu=455.6 formation_enthalpy_0k_ev_per_atom=0.0361 pbc="T T T"
Ca 0.000 0.000 0.000
Pr 0.061 0.000 11.563
Pr 2.377 0.000 4.686
Pr 3.466 0.000 1.209
Pr 4.678 0.000 9.268
Pr 5.856 0.000 5.827
Pr 7.067 0.000 13.886
Pr 8.156 0.000 10.408
Pr 10.473 0.000 3.531
Dy 1.190 0.000 8.106
Dy 3.499 0.000 12.692
Dy 7.035 0.000 2.402
Dy 9.344 0.000 6.989


2.
10
Lattice="9.525 0.000 0.000 0.000 9.525 0.000 0.000 0.000 3.962" Properties=species:S:1:pos:R:3 comment="Ca2PrDy2 (PBE-GGA, optimized geometry)" volume_a3_per_fu=179.7 formation_enthalpy_0k_ev_per_atom=0.2180 pbc="T T T"
Ca 1.635 3.128 0.000
Ca 3.128 7.890 0.000
Ca 6.397 1.635 0.000
Ca 7.890 6.397 0.000
Pr 0.000 0.000 1.981
Pr 4.763 4.763 1.981
Dy 1.199 5.961 1.981
Dy 3.564 1.199 1.981
Dy 5.961 8.326 1.981
Dy 8.326 3.564 1.981


3.
16
Lattice="8.370 0.000 0.000 0.000 8.370 0.000 0.000 0.000 8.370" Properties=species:S:1:pos:R:3 comment="Ca2PrDy (PBE-GGA, optimized geometry)" volume_a3_per_fu=146.6 formation_enthalpy_0k_ev_per_atom=0.1429 pbc="T T T"
Ca 2.092 2.092 2.092
Ca 2.092 2.092 6.277
Ca 2.092 6.277 2.092
Ca 2.092 6.277 6.277
Ca 6.277 2.092 2.092
Ca 6.277 2.092 6.277
Ca 6.277 6.277 2.092
Ca 6.277 6.277 6.277
Pr 0.000 0.000 0.000
Pr 0.000 4.185 4.185
Pr 4.185 0.000 4.185
Pr 4.185 4.185 0.000
Dy 0.000 0.000 4.185
Dy 0.000 4.185 0.000
Dy 4.185 0.000 0.000
Dy 4.185 4.185 4.185


4.
12
Lattice="3.705 0.000 0.000 -1.853 3.209 0.000 0.000 0.000 37.069" Properties=species:S:1:pos:R:3 comment="Ca2PrDy (PBE-GGA, optimized geometry)" volume_a3_per_fu=146.9 formation_enthalpy_0k_ev_per_atom=0.1040 pbc="T T T"
Ca 0.000 0.000 0.000
Ca 0.000 0.000 6.045
Ca 0.000 2.139 24.713
Ca 0.000 2.139 30.758
Ca 1.853 1.070 12.356
Ca 1.853 1.070 18.402
Pr 0.000 0.000 21.559
Pr 0.000 2.139 9.202
Pr 1.853 1.070 33.915
Dy 0.000 0.000 27.724
Dy 0.000 2.139 15.368
Dy 1.853 1.070 3.011


5.
12
Lattice="3.604 0.000 0.000 -1.802 3.121 0.000 0.000 0.000 39.784" Properties=species:S:1:pos:R:3 comment="Ca2PrDy (PBE-GGA, optimized geometry)" volume_a3_per_fu=149.2 formation_enthalpy_0k_ev_per_atom=0.2356 pbc="T T T"
Ca 0.000 0.000 3.450
Ca 0.000 0.000 36.334
Ca 0.000 2.081 23.073
Ca 0.000 2.081 29.972
Ca 1.802 1.040 9.812
Ca 1.802 1.040 16.711
Pr 0.000 0.000 19.892
Pr 0.000 2.081 6.631
Pr 1.802 1.040 33.153
Dy 0.000 0.000 0.000
Dy 0.000 2.081 26.522
Dy 1.802 1.040 13.261


6.
12
Lattice="5.220 0.000 0.000 0.000 5.220 0.000 0.000 0.000 15.688" Properties=species:S:1:pos:R:3 comment="CaPr9Dy2 (PBE-GGA, optimized geometry)" volume_a3_per_fu=427.5 formation_enthalpy_0k_ev_per_atom=0.0275 pbc="T T T"
Ca 0.000 0.000 0.000
Pr 0.000 2.610 2.704
Pr 0.000 2.610 7.844
Pr 0.000 2.610 12.984
Pr 2.610 0.000 2.704
Pr 2.610 0.000 7.844
Pr 2.610 0.000 12.984
Pr 2.610 2.610 0.000
Pr 2.610 2.610 5.254
Pr 2.610 2.610 10.434
Dy 0.000 0.000 5.243
Dy 0.000 0.000 10.445


7.
10
Lattice="3.134 1.810 11.837 -3.134 1.810 11.837 0.000 -3.619 11.837" Properties=species:S:1:pos:R:3 comment="CaPr3Dy (PBE-GGA, optimized geometry)" volume_a3_per_fu=201.4 formation_enthalpy_0k_ev_per_atom=0.3543 pbc="T T T"
Ca 0.000 0.000 5.926
Ca 0.000 0.000 29.585
Pr -2.093 0.049 14.615
Pr -1.089 -1.788 20.897
Pr 1.004 -1.837 14.615
Pr -1.004 1.837 20.897
Pr 1.089 1.788 14.615
Pr 2.093 -0.049 20.897
Dy 0.000 0.000 11.848
Dy 0.000 0.000 23.664


8.
12
Lattice="-4.385 4.385 5.903 4.385 -4.385 5.903 4.385 4.385 -5.903" Properties=species:S:1:pos:R:3 comment="CaPr3Dy8 (PBE-GGA, optimized geometry)" volume_a3_per_fu=453.9 formation_enthalpy_0k_ev_per_atom=0.6424 pbc="T T T"
Ca 0.000 0.000 0.000
Pr 4.385 0.000 2.951
Pr 0.000 0.000 5.903
Pr 0.000 4.385 2.951
Dy 3.206 3.206 -2.687
Dy 2.046 -2.046 5.429
Dy 2.339 2.339 0.473
Dy 1.179 1.179 3.215
Dy 1.179 -1.179 8.590
Dy -2.046 2.046 5.429
Dy 2.046 2.046 6.376
Dy -1.179 1.179 8.590


9.
12
Lattice="-4.383 4.383 6.238 4.383 -4.383 6.238 4.383 4.383 -6.238" Properties=species:S:1:pos:R:3 comment="CaPr8Dy3 (PBE-GGA, optimized geometry)" volume_a3_per_fu=479.4 formation_enthalpy_0k_ev_per_atom=0.5783 pbc="T T T"
Ca 0.000 0.000 0.000
Pr 3.095 3.095 -2.728
Pr 2.049 -2.049 5.577
Pr 2.334 2.334 0.661
Pr 1.288 1.288 3.510
Pr 1.288 -1.288 8.966
Pr -2.049 2.049 5.577
Pr 2.049 2.049 6.899
Pr -1.288 1.288 8.966
Dy 4.383 0.000 3.119
Dy 0.000 0.000 6.238
Dy 0.000 4.383 3.119


10.
14
Lattice="7.335 0.000 0.000 1.842 7.957 0.000 0.029 3.368 8.304" Properties=species:S:1:pos:R:3 comment="CaPr3Dy3 (PBE-GGA, optimized geometry)" volume_a3_per_fu=242.3 formation_enthalpy_0k_ev_per_atom=0.0498 pbc="T T T"
Ca 0.924 3.556 1.824
Ca 8.282 7.769 6.480
Pr 2.814 6.565 0.627
Pr 2.829 4.800 7.662
Pr 4.628 8.553 3.035
Pr 4.578 2.771 5.269
Pr 6.378 6.524 0.643
Pr 6.393 4.759 7.678
Dy 0.963 2.780 5.365
Dy 2.827 5.668 4.140
Dy 4.602 7.756 6.525
Dy 4.605 3.568 1.780
Dy 6.379 5.656 4.164
Dy 8.243 8.544 2.940